[1]
## PuPaNiAu (PBE-GGA)

Data for crystalline PuPaNiAu at its relaxed geometry.

a b c (Å): 4.7511 4.7511 4.7511
angles (deg): 60.00 60.00 60.00
Last column: nearest neighbours and their distance in Å.
Fractional coordinates of all 4 atoms:
Pu 0.0000 0.0000 0.0000  4 Pa 2.91, 4 Au 2.91
Pa 0.7500 0.7500 0.7500  4 Ni 2.91, 4 Pu 2.91
Ni 0.5000 0.5000 0.5000  4 Pa 2.91, 4 Au 2.91
Au 0.2500 0.2500 0.2500  4 Ni 2.91, 4 Pu 2.91

* formation enthalpy at 0 K: -0.36 eV per atom

[2]
## PaNiRhAu (PBE-GGA)

Data for crystalline PaNiRhAu at its relaxed geometry.

a b c (Å): 4.6365 4.6365 4.6365
angles (deg): 60.00 60.00 60.00
Last column: nearest neighbours and their distance in Å.
Fractional coordinates of all 4 atoms:
Pa 0.0000 0.0000 0.0000  4 Rh 2.84, 4 Ni 2.84
Ni 0.2500 0.2500 0.2500  4 Pa 2.84, 4 Au 2.84
Rh 0.7500 0.7500 0.7500  4 Pa 2.84, 4 Au 2.84
Au 0.5000 0.5000 0.5000  4 Rh 2.84, 4 Ni 2.84

* formation enthalpy at 0 K: -0.42 eV per atom

[3]
## PaNiSbAu (PBE-GGA)

Data for crystalline PaNiSbAu at its relaxed geometry.

a b c (Å): 4.8551 4.8551 4.8551
angles (deg): 60.00 60.00 60.00
Last column: nearest neighbours and their distance in Å.
Fractional coordinates of all 4 atoms:
Pa 0.0000 0.0000 0.0000  4 Ni 2.97, 4 Au 2.97
Ni 0.7500 0.7500 0.7500  4 Sb 2.97, 4 Pa 2.97
Sb 0.5000 0.5000 0.5000  4 Ni 2.97, 4 Au 2.97
Au 0.2500 0.2500 0.2500  4 Sb 2.97, 4 Pa 2.97

* E_form (uncorrected): -6.508 kcal/mol of atoms

[4]
## Pa2Si3Ni12Au (PBE-GGA)

Data for crystalline Pa2Si3Ni12Au at its relaxed geometry.

a b c (Å): 6.3164 6.3164 6.3164
angles (deg): 84.15 84.15 84.15
Last column: nearest neighbours and their distance in Å.
Fractional coordinates of all 18 atoms:
Pa 0.1617 0.1617 0.1617  3 Ni 2.39
Pa 0.8383 0.8383 0.8383  3 Ni 2.39
Si 0.0000 0.5000 0.5000  6 Ni 2.31-2.50
Si 0.5000 0.0000 0.5000  6 Ni 2.31-2.50
Si 0.5000 0.5000 0.0000  6 Ni 2.31-2.50
Ni 0.1144 0.1144 0.5960  4 Ni 2.40-2.65, 2 Si 2.50
Ni 0.1144 0.5960 0.1144  4 Ni 2.40-2.65, 2 Si 2.50
Ni 0.1838 0.6967 0.6967  1 Si 2.31, 1 Pa 2.39, 3 Ni 2.40-2.58, 1 Au 2.53
Ni 0.3033 0.3033 0.8162  1 Si 2.31, 1 Pa 2.39, 3 Ni 2.40-2.58, 1 Au 2.53
Ni 0.3033 0.8162 0.3033  1 Si 2.31, 1 Pa 2.39, 3 Ni 2.40-2.58, 1 Au 2.53
Ni 0.4040 0.8856 0.8856  4 Ni 2.40-2.65, 2 Si 2.50
Ni 0.5960 0.1144 0.1144  4 Ni 2.40-2.65, 2 Si 2.50
Ni 0.6967 0.1838 0.6967  1 Si 2.31, 1 Pa 2.39, 3 Ni 2.40-2.58, 1 Au 2.53
Ni 0.6967 0.6967 0.1838  1 Si 2.31, 1 Pa 2.39, 3 Ni 2.40-2.58, 1 Au 2.53
Ni 0.8162 0.3033 0.3033  1 Si 2.31, 1 Pa 2.39, 3 Ni 2.40-2.58, 1 Au 2.53
Ni 0.8856 0.4040 0.8856  4 Ni 2.40-2.65, 2 Si 2.50
Ni 0.8856 0.8856 0.4040  4 Ni 2.40-2.65, 2 Si 2.50
Au 0.5000 0.5000 0.5000  6 Ni 2.53

* E_form (uncorrected): -4.218 kcal/mol of atoms

[5]
## Pa2Si4Ni3Au (PBE-GGA)

Data for crystalline Pa2Si4Ni3Au at its relaxed geometry.

a b c (Å): 4.0791 4.0791 9.5509
angles (deg): 90.00 90.00 90.00
Last column: nearest neighbours and their distance in Å.
Fractional coordinates of all 10 atoms:
Pa 0.0000 0.5000 0.2397  8 Si 3.07-3.08, 7 Ni 3.12-3.40, 2 Au 3.22
Pa 0.5000 0.0000 0.7603  8 Si 3.07-3.08, 7 Ni 3.12-3.40, 2 Au 3.22
Si 0.0000 0.0000 0.0000  4 Ni 2.32
Si 0.0000 0.5000 0.6464  3 Ni 2.27-2.47, 2 Au 2.47
Si 0.5000 0.0000 0.3536  3 Ni 2.27-2.47, 2 Au 2.47
Si 0.5000 0.5000 0.0000  4 Ni 2.32
Ni 0.0000 0.5000 0.8841  5 Si 2.27-2.32
Ni 0.5000 0.0000 0.1159  5 Si 2.27-2.32
Ni 0.5000 0.5000 0.5000  4 Si 2.47
Au 0.0000 0.0000 0.5000  4 Si 2.47

* E_form (uncorrected): -15.615 kcal/mol of atoms

[6]
## Pa2Si3Ni4Au (PBE-GGA)

Data for crystalline Pa2Si3Ni4Au at its relaxed geometry.

a b c (Å): 3.8900 3.8900 10.3093
angles (deg): 90.00 90.00 90.00
Last column: nearest neighbours and their distance in Å.
Fractional coordinates of all 10 atoms:
Pa 0.0000 0.5000 0.2437  8 Ni 2.92-3.18, 4 Si 3.04
Pa 0.5000 0.0000 0.7563  8 Ni 2.92-3.18, 4 Si 3.04
Si 0.0000 0.5000 0.8811  5 Ni 2.25-2.30
Si 0.5000 0.0000 0.1189  5 Ni 2.25-2.30
Si 0.5000 0.5000 0.5000  4 Ni 2.57, 4 Au 2.75
Ni 0.0000 0.0000 0.0000  4 Si 2.30
Ni 0.0000 0.5000 0.6625  1 Si 2.25
Ni 0.5000 0.0000 0.3375  1 Si 2.25
Ni 0.5000 0.5000 0.0000  4 Si 2.30
Au 0.0000 0.0000 0.5000  4 Ni 2.57, 4 Si 2.75

* E_form (uncorrected): -14.681 kcal/mol of atoms

[7]
## TbPaNiAu (PBE-GGA)

Data for crystalline TbPaNiAu at its relaxed geometry.

a b c (Å): 4.9700 4.9700 4.9700
angles (deg): 60.00 60.00 60.00
Last column: nearest neighbours and their distance in Å.
Fractional coordinates of all 4 atoms:
Tb 0.0000 0.0000 0.0000  4 Ni 3.04, 4 Au 3.04
Pa 0.5000 0.5000 0.5000  4 Au 3.04, 4 Ni 3.04
Ni 0.7500 0.7500 0.7500  4 Pa 3.04, 4 Tb 3.04
Au 0.2500 0.2500 0.2500  4 Pa 3.04, 4 Tb 3.04

* formation enthalpy at 0 K: -0.27 eV per atom

[8]
## UPaNiAu (PBE-GGA)

Data for crystalline UPaNiAu at its relaxed geometry.

a b c (Å): 4.7662 4.7662 4.7662
angles (deg): 60.00 60.00 60.00
Last column: nearest neighbours and their distance in Å.
Fractional coordinates of all 4 atoms:
U 0.0000 0.0000 0.0000  4 Pa 2.92, 4 Ni 2.92
Pa 0.7500 0.7500 0.7500  4 U 2.92, 4 Au 2.92
Ni 0.2500 0.2500 0.2500  4 U 2.92, 4 Au 2.92
Au 0.5000 0.5000 0.5000  4 Pa 2.92, 4 Ni 2.92

* formation enthalpy at 0 K: -0.14 eV per atom

[9]
## NiPbAu (PBE-GGA)

Data for crystalline NiPbAu at its relaxed geometry.

a b c (Å): 4.4024 4.4024 4.4024
angles (deg): 60.00 60.00 60.00
Last column: nearest neighbours and their distance in Å.
Fractional coordinates of all 3 atoms:
Ni 0.0000 0.0000 0.0000  4 Pb 2.70, 4 Au 2.70
Pb 0.7500 0.7500 0.7500  4 Ni 2.70
Au 0.2500 0.2500 0.2500  4 Ni 2.70

* energy relative to the lowest polymorph listed for this composition: 0.039 eV per atom
* formation enthalpy at 0 K: 0.09 eV per atom

[10]
## NiPbAu (PBE-GGA)

Data for crystalline NiPbAu at its relaxed geometry.

a b c (Å): 4.4839 5.4012 5.4012
angles (deg): 67.20 90.00 90.00
Last column: nearest neighbours and their distance in Å.
Fractional coordinates of all 6 atoms:
Ni 0.0000 0.2342 0.7658  4 Au 2.63-2.78, 4 Pb 2.66-2.75, 1 Ni 2.80
Ni 0.0000 0.7658 0.2342  4 Au 2.63-2.78, 4 Pb 2.66-2.75, 1 Ni 2.80
Pb 0.0000 0.2632 0.2632  4 Ni 2.66-2.75
Pb 0.5000 0.9555 0.9555  4 Ni 2.67
Au 0.0000 0.7334 0.7334  4 Ni 2.63-2.78, 2 Au 2.94
Au 0.5000 0.5216 0.5216  4 Ni 2.75, 2 Au 2.94, 2 Pb 3.05

* energy relative to the lowest polymorph listed for this composition: 0.014 eV per atom
* formation enthalpy at 0 K: 0.06 eV per atom

[11]
## NiPbAu4 (PBE-GGA)

Data for crystalline NiPbAu4 at its relaxed geometry.

a b c (Å): 5.5566 5.5566 5.5566
angles (deg): 60.00 60.00 60.00
Last column: nearest neighbours and their distance in Å.
Fractional coordinates of all 6 atoms:
Ni 0.0000 0.0000 0.0000  12 Au 3.26, 4 Pb 3.40
Pb 0.7500 0.7500 0.7500  12 Au 3.26, 4 Ni 3.40
Au 0.3744 0.3744 0.3744  6 Au 2.77-2.79
Au 0.3744 0.3744 0.8767  6 Au 2.77-2.79
Au 0.3744 0.8767 0.3744  6 Au 2.77-2.79
Au 0.8767 0.3744 0.3744  6 Au 2.77-2.79

* formation enthalpy at 0 K: 0.25 eV per atom

[12]
## NiPbAu (PBE-GGA)

Data for crystalline NiPbAu at its relaxed geometry.

a b c (Å): 5.3691 5.3691 5.6060
angles (deg): 90.00 90.00 134.71
Last column: nearest neighbours and their distance in Å.
Fractional coordinates of all 6 atoms:
Ni 0.0956 0.9044 0.7500  4 Au 2.67, 3 Pb 2.88-2.95
Ni 0.9044 0.0956 0.2500  4 Au 2.67, 3 Pb 2.88-2.95
Pb 0.2022 0.7978 0.2500  5 Ni 2.88-3.00, 4 Au 3.20
Pb 0.7978 0.2022 0.7500  5 Ni 2.88-3.00, 4 Au 3.20
Au 0.5000 0.5000 0.0000  4 Ni 2.67, 2 Au 2.80
Au 0.5000 0.5000 0.5000  4 Ni 2.67, 2 Au 2.80

* energy relative to the lowest polymorph listed for this composition: 0.040 eV per atom
* formation enthalpy at 0 K: 0.09 eV per atom

Please write out number 12 again, unchanged.
## NiPbAu (PBE-GGA)

Data for crystalline NiPbAu at its relaxed geometry.

a b c (Å): 5.3691 5.3691 5.6060
angles (deg): 90.00 90.00 134.71
Last column: nearest neighbours and their distance in Å.
Fractional coordinates of all 6 atoms:
Ni 0.0956 0.9044 0.7500  4 Au 2.67, 3 Pb 2.88-2.95
Ni 0.9044 0.0956 0.2500  4 Au 2.67, 3 Pb 2.88-2.95
Pb 0.2022 0.7978 0.2500  5 Ni 2.88-3.00, 4 Au 3.20
Pb 0.7978 0.2022 0.7500  5 Ni 2.88-3.00, 4 Au 3.20
Au 0.5000 0.5000 0.0000  4 Ni 2.67, 2 Au 2.80
Au 0.5000 0.5000 0.5000  4 Ni 2.67, 2 Au 2.80

* energy relative to the lowest polymorph listed for this composition: 0.040 eV per atom
* formation enthalpy at 0 K: 0.09 eV per atom